# Rb2CoReO, optimized geometry, DFT PBE with a Hubbard U
# * uncorrected energy: -4.15 eV/atom
# * calculated volume: 141.0 Å³ per cell
# * magnetic moment: 5.61 μB/f.u.
data_Rb2CoReO
_chemical_formula_sum 'Rb2 Co1 Re1 O1'
_cell_length_a 6.322
_cell_length_b 6.322
_cell_length_c 3.528
_cell_angle_alpha 90.00
_cell_angle_beta 90.00
_cell_angle_gamma 90.00
_space_group_name_H-M_alt 'P 4/m m m'
_space_group_IT_number 123
_space_group_name_Hall '-P 4 2'
loop_
_atom_site_label
_atom_site_type_symbol
_atom_site_fract_x
_atom_site_fract_y
_atom_site_fract_z
Rb1 Rb 0.000 0.500 0.000
Co1 Co 0.000 0.000 0.500
Re1 Re 0.500 0.500 0.500
O1 O 0.000 0.000 0.000